Entry 1:
Material: Cu2PtAu
Method: DFT, SCAN
State: PBEsol geometry Values from VASP.

formation energy from the elements = -0.089 eV/atom
ρ = 15.52 g/cm³
final energy = -42.526 eV/atom
V = 13.88 Å³ per atom

The structure in Quantum ESPRESSO input format:
```
&SYSTEM
  ibrav = 0, nat = 4, ntyp = 3
/
ATOMIC_SPECIES
Cu 63.55 Cu.upf
Pt 195.08 Pt.upf
Au 196.97 Au.upf
CELL_PARAMETERS angstrom
1.372 0.792 8.522
-1.372 0.792 8.522
0.000 -1.584 8.522
ATOMIC_POSITIONS crystal
Cu 0.249 0.249 0.249
Cu 0.751 0.751 0.751
Pt 0.500 0.500 0.500
Au 0.000 0.000 0.000
```

Entry 2:
Material: CuPt2Au
Method: DFT, SCAN
State: PBEsol geometry Values from VASP.

formation energy from the elements = -0.006 eV/atom
ρ = 18.37 g/cm³
final energy = -56.192 eV/atom
V = 14.71 Å³ per atom

The structure in Quantum ESPRESSO input format:
```
&SYSTEM
  ibrav = 0, nat = 4, ntyp = 3
/
ATOMIC_SPECIES
Cu 63.55 Cu.upf
Pt 195.08 Pt.upf
Au 196.97 Au.upf
CELL_PARAMETERS angstrom
2.758 0.000 0.000
0.000 3.792 0.000
0.000 0.000 5.625
ATOMIC_POSITIONS crystal
Cu 0.000 0.000 0.000
Pt 0.000 0.000 0.482
Pt 0.500 0.500 0.235
Au 0.500 0.500 0.752
```

Entry 3:
Material: CuPt2Au
Method: DFT, SCAN
State: PBEsol geometry Values from VASP.

formation energy from the elements = -0.031 eV/atom
ρ = 18.42 g/cm³
final energy = -56.216 eV/atom
V = 14.67 Å³ per atom

The structure in Quantum ESPRESSO input format:
```
&SYSTEM
  ibrav = 0, nat = 4, ntyp = 3
/
ATOMIC_SPECIES
Cu 63.55 Cu.upf
Pt 195.08 Pt.upf
Au 196.97 Au.upf
CELL_PARAMETERS angstrom
1.378 0.796 8.916
-1.378 0.796 8.916
0.000 -1.592 8.916
ATOMIC_POSITIONS crystal
Cu 0.000 0.000 0.000
Pt 0.498 0.498 0.498
Pt 0.744 0.744 0.744
Au 0.254 0.254 0.254
```

Entry 4:
Material: CuPt2Au
Method: DFT, SCAN
State: PBEsol geometry Values from VASP.

formation energy from the elements = -0.008 eV/atom
ρ = 18.39 g/cm³
final energy = -56.193 eV/atom
V = 14.69 Å³ per atom

The structure in Quantum ESPRESSO input format:
```
&SYSTEM
  ibrav = 0, nat = 4, ntyp = 3
/
ATOMIC_SPECIES
Cu 63.55 Cu.upf
Pt 195.08 Pt.upf
Au 196.97 Au.upf
CELL_PARAMETERS angstrom
-1.938 1.938 3.911
1.938 -1.938 3.911
1.938 1.938 -3.911
ATOMIC_POSITIONS crystal
Cu 0.000 0.000 0.000
Pt 0.250 0.750 0.500
Pt 0.750 0.250 0.500
Au 0.500 0.500 0.000
```

Entry 5:
Material: CuPt2Au
Method: DFT, SCAN
State: PBEsol geometry Values from VASP.

formation energy from the elements = -0.004 eV/atom
ρ = 18.35 g/cm³
final energy = -56.190 eV/atom
V = 14.72 Å³ per atom

The structure in Quantum ESPRESSO input format:
```
&SYSTEM
  ibrav = 0, nat = 4, ntyp = 3
/
ATOMIC_SPECIES
Cu 63.55 Cu.upf
Pt 195.08 Pt.upf
Au 196.97 Au.upf
CELL_PARAMETERS angstrom
4.521 -1.391 0.000
4.521 1.391 0.000
-0.921 0.000 4.682
ATOMIC_POSITIONS crystal
Cu 0.000 0.000 0.000
Pt 0.257 0.257 0.746
Pt 0.506 0.506 0.511
Au 0.749 0.749 0.237
```

Entry 6:
Material: CuPt2Au
Method: DFT, SCAN
State: PBEsol geometry Values from VASP.

formation energy from the elements = -0.048 eV/atom
ρ = 18.15 g/cm³
final energy = -56.233 eV/atom
V = 14.88 Å³ per atom

The structure in Quantum ESPRESSO input format:
```
&SYSTEM
  ibrav = 0, nat = 4, ntyp = 3
/
ATOMIC_SPECIES
Cu 63.55 Cu.upf
Pt 195.08 Pt.upf
Au 196.97 Au.upf
CELL_PARAMETERS angstrom
2.694 -4.677 0.000
2.694 4.677 0.000
-1.361 0.000 2.362
ATOMIC_POSITIONS crystal
Cu 0.000 0.000 0.000
Pt 0.000 0.500 0.500
Pt 0.500 0.000 0.500
Au 0.500 0.500 0.000
```

Entry 7:
Material: Cu2PtAu
Method: DFT, SCAN
State: PBEsol geometry Values from VASP.

formation energy from the elements = -0.076 eV/atom
ρ = 15.61 g/cm³
final energy = -42.514 eV/atom
V = 13.81 Å³ per atom

The structure in Quantum ESPRESSO input format:
```
&SYSTEM
  ibrav = 0, nat = 4, ntyp = 3
/
ATOMIC_SPECIES
Cu 63.55 Cu.upf
Pt 195.08 Pt.upf
Au 196.97 Au.upf
CELL_PARAMETERS angstrom
-1.885 1.885 3.887
1.885 -1.885 3.887
1.885 1.885 -3.887
ATOMIC_POSITIONS crystal
Cu 0.000 0.000 0.000
Cu 0.750 0.250 0.500
Pt 0.500 0.500 0.000
Au 0.250 0.750 0.500
```

Entry 8:
Material: CuPtAu
Method: DFT, SCAN
State: PBEsol geometry Values from VASP.

formation energy from the elements = -0.072 eV/atom
ρ = 17.30 g/cm³
final energy = -51.589 eV/atom
V = 14.58 Å³ per atom

The structure in Quantum ESPRESSO input format:
```
&SYSTEM
  ibrav = 0, nat = 3, ntyp = 3
/
ATOMIC_SPECIES
Cu 63.55 Cu.upf
Pt 195.08 Pt.upf
Au 196.97 Au.upf
CELL_PARAMETERS angstrom
2.757 0.000 0.000
-1.379 2.388 0.000
0.000 0.000 6.642
ATOMIC_POSITIONS crystal
Cu 0.000 0.000 0.000
Pt 0.667 0.333 0.689
Au 0.333 0.667 0.322
```

Entry 9:
Material: Cu2PtAu
Method: DFT, SCAN
State: PBEsol geometry Values from VASP.

formation energy from the elements = -0.069 eV/atom
ρ = 15.61 g/cm³
final energy = -42.506 eV/atom
V = 13.81 Å³ per atom

The structure in Quantum ESPRESSO input format:
```
&SYSTEM
  ibrav = 0, nat = 4, ntyp = 3
/
ATOMIC_SPECIES
Cu 63.55 Cu.upf
Pt 195.08 Pt.upf
Au 196.97 Au.upf
CELL_PARAMETERS angstrom
2.732 0.000 0.000
0.000 3.723 0.000
0.000 0.000 5.431
ATOMIC_POSITIONS crystal
Cu 0.000 0.000 0.000
Cu 0.500 0.500 0.240
Pt 0.000 0.000 0.469
Au 0.500 0.500 0.760
```

Entry 10:
Material: CuPt2Au
Method: DFT, SCAN
State: PBEsol geometry Values from VASP.

formation energy from the elements = -0.041 eV/atom
ρ = 18.18 g/cm³
final energy = -56.226 eV/atom
V = 14.86 Å³ per atom

The structure in Quantum ESPRESSO input format:
```
&SYSTEM
  ibrav = 0, nat = 4, ntyp = 3
/
ATOMIC_SPECIES
Cu 63.55 Cu.upf
Pt 195.08 Pt.upf
Au 196.97 Au.upf
CELL_PARAMETERS angstrom
2.726 0.000 0.000
0.000 4.658 0.000
-0.057 0.000 4.681
ATOMIC_POSITIONS crystal
Cu 0.000 0.000 0.000
Pt 0.241 0.500 0.756
Pt 0.759 0.500 0.244
Au 0.500 0.000 0.500
```

Entry 11:
Material: RbCu2Au2
Method: DFT, SCAN
State: PBEsol geometry Values from VASP.

formation energy from the elements = 0.043 eV/atom
ρ = 9.72 g/cm³
final energy = -37.848 eV/atom
V = 20.71 Å³ per atom

The structure in Quantum ESPRESSO input format:
```
&SYSTEM
  ibrav = 0, nat = 5, ntyp = 3
/
ATOMIC_SPECIES
Rb 85.47 Rb.upf
Cu 63.55 Cu.upf
Au 196.97 Au.upf
CELL_PARAMETERS angstrom
-2.190 2.190 5.401
2.190 -2.190 5.401
2.190 2.190 -5.401
ATOMIC_POSITIONS crystal
Rb 0.000 0.000 0.000
Cu 0.250 0.750 0.500
Cu 0.750 0.250 0.500
Au 0.373 0.373 0.000
Au 0.627 0.627 0.000
```

Entry 12:
Material: Rb2CuAu
Method: DFT, SCAN
State: PBEsol geometry Values from VASP.

formation energy from the elements = 0.101 eV/atom
ρ = 5.54 g/cm³
final energy = -31.357 eV/atom
V = 32.35 Å³ per atom

The structure in Quantum ESPRESSO input format:
```
&SYSTEM
  ibrav = 0, nat = 4, ntyp = 3
/
ATOMIC_SPECIES
Rb 85.47 Rb.upf
Cu 63.55 Cu.upf
Au 196.97 Au.upf
CELL_PARAMETERS angstrom
0.000 4.014 4.014
4.014 0.000 4.014
4.014 4.014 0.000
ATOMIC_POSITIONS crystal
Rb 0.250 0.250 0.250
Rb 0.750 0.750 0.750
Cu 0.000 0.000 0.000
Au 0.500 0.500 0.500
```

Entry 13:
Material: RbCu2Au2
Method: DFT, SCAN
State: PBEsol geometry Values from VASP.

formation energy from the elements = 0.115 eV/atom
ρ = 9.95 g/cm³
final energy = -37.775 eV/atom
V = 20.25 Å³ per atom

The structure in Quantum ESPRESSO input format:
```
&SYSTEM
  ibrav = 0, nat = 5, ntyp = 3
/
ATOMIC_SPECIES
Rb 85.47 Rb.upf
Cu 63.55 Cu.upf
Au 196.97 Au.upf
CELL_PARAMETERS angstrom
-2.208 2.208 5.192
2.208 -2.208 5.192
2.208 2.208 -5.192
ATOMIC_POSITIONS crystal
Rb 0.000 0.000 0.000
Cu 0.380 0.380 0.000
Cu 0.620 0.620 0.000
Au 0.250 0.750 0.500
Au 0.750 0.250 0.500
```

Entry 14:
Material: CuReAu2
Method: DFT, SCAN
State: PBEsol geometry Values from VASP.

formation energy from the elements = 0.473 eV/atom
ρ = 17.73 g/cm³
final energy = -55.680 eV/atom
V = 15.07 Å³ per atom

The structure in Quantum ESPRESSO input format:
```
&SYSTEM
  ibrav = 0, nat = 4, ntyp = 3
/
ATOMIC_SPECIES
Cu 63.55 Cu.upf
Re 186.21 Re.upf
Au 196.97 Au.upf
CELL_PARAMETERS angstrom
4.558 -1.341 0.000
4.558 1.341 0.000
-0.706 0.000 4.931
ATOMIC_POSITIONS crystal
Cu 0.000 0.000 0.000
Re 0.500 0.500 0.500
Au 0.249 0.249 0.751
Au 0.751 0.751 0.249
```

Entry 15:
Material: CuReAu
Method: DFT, SCAN
State: PBEsol geometry Values from VASP.

formation energy from the elements = 0.986 eV/atom
ρ = 15.57 g/cm³
final energy = -50.832 eV/atom
V = 15.88 Å³ per atom

The structure in Quantum ESPRESSO input format:
```
&SYSTEM
  ibrav = 0, nat = 3, ntyp = 3
/
ATOMIC_SPECIES
Cu 63.55 Cu.upf
Re 186.21 Re.upf
Au 196.97 Au.upf
CELL_PARAMETERS angstrom
0.000 2.877 2.877
2.877 0.000 2.877
2.877 2.877 0.000
ATOMIC_POSITIONS crystal
Cu 0.000 0.000 0.000
Re 0.250 0.250 0.250
Au 0.750 0.750 0.750
```